# 1
PBE Sm6TlAu2, relaxed; final energy = -4.571 eV per atom; crystal system = orthorhombic; space-group type = No. 71; DOS at the Fermi energy = 18.9 states/eV per cell
1.0
-4.851 5.083 5.449
4.851 -5.083 5.449
4.851 5.083 -5.449
Sm Tl Au
12 2 4
Direct
0.040 0.238 0.802 Sm
0.183 0.285 0.468 Sm
0.183 0.715 0.898 Sm
0.327 0.029 0.702 Sm
0.327 0.626 0.298 Sm
0.436 0.238 0.198 Sm
0.564 0.762 0.802 Sm
0.673 0.374 0.702 Sm
0.673 0.971 0.298 Sm
0.817 0.285 0.102 Sm
0.817 0.715 0.532 Sm
0.960 0.762 0.198 Sm
0.000 0.000 0.000 Tl
0.500 0.500 0.000 Tl
0.131 0.631 0.500 Au
0.345 0.000 0.345 Au
0.655 0.000 0.655 Au
0.869 0.369 0.500 Au

# 2
PBE SiOsBr3, relaxed; ΔE to the lowest computed polymorph = 6.20 kcal/mol of atoms; crystal system = cubic; space-group type = No. 221; DOS at the Fermi energy = 11.6 states/eV per cell; formation energy without anion corrections = 1.19 eV per atom
1.0
5.246 0.000 0.000
0.000 5.246 0.000
0.000 0.000 5.246
Si Os Br
1 1 3
Direct
0.000 0.000 0.000 Si
0.500 0.500 0.500 Os
0.000 0.000 0.500 Br
0.000 0.500 0.000 Br
0.500 0.000 0.000 Br

# 3
PBE Pm6SmY3Ho2, relaxed; final energy = -5.136 eV per atom; crystal system = monoclinic; space-group type = No. 12; DOS at the Fermi energy = 14.9 states/eV per cell
1.0
3.130 -5.422 0.000
3.130 5.422 0.000
-2.084 0.000 11.707
Pm Sm Y Ho
6 1 3 2
Direct
0.082 0.416 0.250 Pm
0.250 0.250 0.750 Pm
0.416 0.082 0.250 Pm
0.584 0.918 0.750 Pm
0.750 0.750 0.250 Pm
0.918 0.584 0.750 Pm
0.500 0.500 0.500 Sm
0.000 0.000 0.000 Y
0.333 0.667 0.000 Y
0.667 0.333 0.000 Y
0.167 0.833 0.500 Ho
0.833 0.167 0.500 Ho

# 4
PBE Li2CuNi, relaxed; ΔE to the lowest computed polymorph = 0.44 kcal/mol of atoms; crystal system = trigonal; space-group type = No. 166; DOS at the Fermi energy = 3.2 states/eV per cell
1.0
1.280 0.739 8.495
-1.280 0.739 8.495
0.000 -1.478 8.495
Li Cu Ni
2 1 1
Direct
0.247 0.247 0.247 Li
0.753 0.753 0.753 Li
0.000 0.000 0.000 Cu
0.500 0.500 0.500 Ni

# 5
PBE TmFeCo, relaxed; final energy = -6.815 eV per atom; crystal system = hexagonal; space-group type = No. 187; DOS at the Fermi energy = 1.6 states/eV per cell
1.0
3.839 0.000 0.000
-1.920 3.325 0.000
0.000 0.000 3.988
Tm Fe Co
1 1 1
Direct
0.000 0.000 0.000 Tm
0.667 0.333 0.500 Fe
0.333 0.667 0.500 Co

# 6
PBE MgAl2Os, relaxed; ΔE to the lowest computed polymorph = 0.00 kcal/mol of atoms; crystal system = tetragonal; space-group type = No. 123; DOS at the Fermi energy = 1.2 states/eV per cell
1.0
3.178 0.000 0.000
0.000 3.178 0.000
0.000 0.000 6.169
Mg Al Os
1 2 1
Direct
0.000 0.000 0.000 Mg
0.500 0.500 0.282 Al
0.500 0.500 0.718 Al
0.000 0.000 0.500 Os

# 7
PBE K3Pu2Cl2O5, relaxed; crystal system = tetragonal; space-group type = No. 139; DOS at the Fermi energy = 7.0 states/eV per cell; formation energy without anion corrections = -2.43 eV per atom
1.0
-2.152 2.152 12.810
2.152 -2.152 12.810
2.152 2.152 -12.810
K Pu Cl O
3 2 2 5
Direct
0.000 0.000 0.000 K
0.175 0.175 0.000 K
0.825 0.825 0.000 K
0.417 0.417 0.000 Pu
0.583 0.583 0.000 Pu
0.305 0.305 0.000 Cl
0.695 0.695 0.000 Cl
0.087 0.587 0.500 O
0.413 0.913 0.500 O
0.500 0.500 0.000 O
0.587 0.087 0.500 O
0.913 0.413 0.500 O

# 8
PBE Te3MoPd, relaxed; ΔE to the lowest computed polymorph = 20.73 kcal/mol of atoms; crystal system = cubic; space-group type = No. 221; DOS at the Fermi energy = 4.6 states/eV per cell; formation energy without anion corrections = 0.88 eV per atom
1.0
5.252 0.000 0.000
0.000 5.252 0.000
0.000 0.000 5.252
Te Mo Pd
3 1 1
Direct
0.000 0.000 0.500 Te
0.000 0.500 0.000 Te
0.500 0.000 0.000 Te
0.500 0.500 0.500 Mo
0.000 0.000 0.000 Pd

# 9
PBE Rb2GaBr2, relaxed; ΔE to the lowest computed polymorph = 5.23 kcal/mol of atoms; crystal system = tetragonal; space-group type = No. 139; DOS at the Fermi energy = 0.0 states/eV per cell; formation energy without anion corrections = -0.80 eV per atom
1.0
-3.004 3.004 7.388
3.004 -3.004 7.388
3.004 3.004 -7.388
Rb Ga Br
2 1 2
Direct
0.250 0.750 0.500 Rb
0.750 0.250 0.500 Rb
0.000 0.000 0.000 Ga
0.354 0.354 0.000 Br
0.646 0.646 0.000 Br

# 10
PBE Pb4Se5, relaxed; crystal system = tetragonal; space-group type = No. 139; DOS at the Fermi energy = 10.4 states/eV per cell; formation energy without anion corrections = -0.15 eV per atom
1.0
-6.348 6.348 2.013
6.348 -6.348 2.013
6.348 6.348 -2.013
Pb Se
4 5
Direct
0.000 0.222 0.222 Pb
0.000 0.778 0.778 Pb
0.222 0.000 0.222 Pb
0.778 0.000 0.778 Pb
0.000 0.000 0.000 Se
0.322 0.322 0.643 Se
0.322 0.678 0.000 Se
0.678 0.322 0.000 Se
0.678 0.678 0.357 Se

# 11
PBE MgBiCl6, relaxed; crystal system = trigonal; space-group type = No. 148; DOS at the Fermi energy = 6.2 states/eV per cell; formation energy without anion corrections = -1.05 eV per atom
1.0
3.268 1.887 5.861
-3.268 1.887 5.861
0.000 -3.774 5.861
Mg Bi Cl
1 1 6
Direct
0.000 0.000 0.000 Mg
0.500 0.500 0.500 Bi
0.085 0.755 0.399 Cl
0.245 0.601 0.915 Cl
0.399 0.085 0.755 Cl
0.601 0.915 0.245 Cl
0.755 0.399 0.085 Cl
0.915 0.245 0.601 Cl

# 12
PBE ZrSc2O, relaxed; crystal system = hexagonal; space-group type = No. 194; DOS at the Fermi energy = 5.5 states/eV per cell; formation energy without anion corrections = -1.48 eV per atom
1.0
3.194 0.000 0.000
-1.597 2.766 0.000
0.000 0.000 15.872
Zr Sc O
2 4 2
Direct
0.333 0.667 0.250 Zr
0.667 0.333 0.750 Zr
0.333 0.667 0.582 Sc
0.333 0.667 0.918 Sc
0.667 0.333 0.082 Sc
0.667 0.333 0.418 Sc
0.000 0.000 0.000 O
0.000 0.000 0.500 O